A plane-wave DFT calculation with GGA-PBE was carried out for FeMoS3 after structural relaxation.

**Size of the total moment**: 0.001 μB/f.u.
**Distance to the lowest polymorph of the same formula**: 207 meV/atom
**E_form (uncorrected)**: 3.59 eV per formula unit
**Total DFT energy (no corrections)**: -28.1 eV per cell
**V**: 79.01 Å³ per cell

Cell: 4.291 4.291 4.291 Å, 90.00 90.00 90.00°
Atoms (fractional coordinates):
Fe1 0.000 0.000 0.000
Mo1 0.500 0.500 0.500
S1 0.000 0.000 0.500
S2 0.000 0.500 0.000
S3 0.500 0.000 0.000



A plane-wave DFT calculation with GGA-PBE was carried out for LaTbAlZn after structural relaxation.

**DFT formation energy**: -136.3 kJ/mol of formula units
**Size of the total moment**: 0.000 μB/f.u.
**Distance to the lowest polymorph of the same formula**: 0 meV/atom
**Total DFT energy (no corrections)**: -16.0 eV per cell
**V**: 100.80 Å³ per cell

Cell: 3.663 3.663 7.513 Å, 90.00 90.00 90.00°
Atoms (fractional coordinates):
La1 0.000 0.000 0.000
Tb1 0.000 0.000 0.506
Al1 0.500 0.500 0.269
Zn1 0.500 0.500 0.721



A plane-wave DFT calculation with GGA-PBE was carried out for Li3H6Os after structural relaxation.

**Size of the total moment**: 1.004 μB/f.u.
**Distance to the lowest polymorph of the same formula**: 0 meV/atom
**Total DFT energy (no corrections)**: -78.4 eV per cell
**V**: 160.17 Å³ per cell

Cell: 4.817 4.970 8.048 Å, 90.00 123.77 90.00°
Atoms (fractional coordinates):
Li1 0.000 0.000 0.000
Li2 0.000 0.500 0.500
Li3 0.223 0.043 0.742
Li4 0.223 0.457 0.242
Li5 0.777 0.543 0.758
Li6 0.777 0.957 0.258
H1 0.165 0.193 0.443
H2 0.165 0.307 0.943
H3 0.234 0.732 0.429
H4 0.234 0.768 0.929
H5 0.392 0.077 0.264
H6 0.392 0.423 0.764
H7 0.608 0.577 0.236
H8 0.608 0.923 0.736
H9 0.766 0.232 0.071
H10 0.766 0.268 0.571
H11 0.835 0.693 0.057
H12 0.835 0.807 0.557
Os1 0.500 0.000 0.500
Os2 0.500 0.500 0.000



A plane-wave DFT calculation with GGA-PBE was carried out for AlFeRu2 after structural relaxation.

**DFT formation energy**: -54.2 kJ/mol of formula units
**Size of the total moment**: 2.099 μB/f.u.
**Total DFT energy (no corrections)**: -31.3 eV per cell
**V**: 53.17 Å³ per cell

Cell: 2.783 2.783 6.866 Å, 90.00 90.00 90.00°
Atoms (fractional coordinates):
Al1 0.000 0.000 0.000
Fe1 0.500 0.500 0.235
Ru1 0.000 0.000 0.489
Ru2 0.500 0.500 0.747



A plane-wave DFT calculation with GGA-PBE was carried out for In3AgPd after structural relaxation.

**DFT formation energy**: -78.4 kJ/mol of formula units
**Size of the total moment**: 0.000 μB/f.u.
**Distance to the lowest polymorph of the same formula**: 0 meV/atom
**Total DFT energy (no corrections)**: -68.3 eV per cell
**V**: 439.13 Å³ per cell

Cell: 9.141 5.307 10.467 Å, 90.00 120.14 90.00°
Atoms (fractional coordinates):
In1 0.001 0.061 0.350
In2 0.001 0.439 0.850
In3 0.358 0.202 0.952
In4 0.358 0.298 0.452
In5 0.378 0.650 0.172
In6 0.378 0.850 0.672
In7 0.622 0.150 0.328
In8 0.622 0.350 0.828
In9 0.642 0.702 0.548
In10 0.642 0.798 0.048
In11 0.999 0.561 0.150
In12 0.999 0.939 0.650
Ag1 0.164 0.106 0.116
Ag2 0.164 0.394 0.616
Ag3 0.836 0.606 0.384
Ag4 0.836 0.894 0.884
Pd1 0.283 0.704 0.877
Pd2 0.283 0.796 0.377
Pd3 0.717 0.204 0.623
Pd4 0.717 0.296 0.123



A plane-wave DFT calculation with GGA-PBE was carried out for LaCoSe2 after structural relaxation.

**Size of the total moment**: 2.125 μB/f.u.
**Distance to the lowest polymorph of the same formula**: 225 meV/atom
**E_form (uncorrected)**: -3.26 eV per formula unit
**Total DFT energy (no corrections)**: -22.3 eV per cell
**V**: 99.96 Å³ per cell

Cell: 4.162 4.162 5.770 Å, 90.00 90.00 90.00°
Atoms (fractional coordinates):
La1 0.000 0.000 0.000
Co1 0.500 0.500 0.500
Se1 0.000 0.000 0.500
Se2 0.500 0.500 0.000



A plane-wave DFT calculation with GGA-PBE was carried out for YHo3Th2Sb6 after structural relaxation.

**Size of the total moment**: 0.000 μB/f.u.
**E_form (uncorrected)**: -12.71 eV per formula unit
**Total DFT energy (no corrections)**: -72.5 eV per cell
**V**: 366.46 Å³ per cell

Cell: 9.877 9.877 8.824 Å, 102.79 102.79 25.92°
Atoms (fractional coordinates):
Y1 0.000 0.000 0.000
Ho1 0.000 0.000 0.500
Ho2 0.333 0.333 0.166
Ho3 0.667 0.667 0.834
Th1 0.335 0.335 0.669
Th2 0.665 0.665 0.331
Sb1 0.165 0.165 0.589
Sb2 0.167 0.167 0.076
Sb3 0.497 0.497 0.250
Sb4 0.503 0.503 0.750
Sb5 0.833 0.833 0.924
Sb6 0.835 0.835 0.411



A plane-wave DFT calculation with GGA-PBE was carried out for Mn5PbCl12 after structural relaxation.

**Size of the total moment**: 5.027 μB/f.u.
**E_form (uncorrected)**: -19.41 eV per formula unit
**Total DFT energy (no corrections)**: -91.1 eV per cell
**V**: 489.00 Å³ per cell

Cell: 6.599 6.599 12.979 Å, 90.05 90.05 120.09°
Atoms (fractional coordinates):
Mn1 0.000 0.000 0.000
Mn2 0.167 0.833 0.500
Mn3 0.333 0.667 0.000
Mn4 0.667 0.333 0.000
Mn5 0.833 0.167 0.500
Pb1 0.500 0.500 0.500
Cl1 0.000 0.334 0.897
Cl2 0.000 0.666 0.103
Cl3 0.125 0.125 0.614
Cl4 0.125 0.500 0.386
Cl5 0.334 0.000 0.897
Cl6 0.336 0.336 0.104
Cl7 0.500 0.125 0.386
Cl8 0.500 0.875 0.614
Cl9 0.664 0.664 0.896
Cl10 0.666 0.000 0.103
Cl11 0.875 0.500 0.614
Cl12 0.875 0.875 0.386



A plane-wave DFT calculation with GGA-PBE was carried out for AcTbPt2 after structural relaxation.

**DFT formation energy**: -419.5 kJ/mol of formula units
**Size of the total moment**: 0.000 μB/f.u.
**Distance to the lowest polymorph of the same formula**: 80 meV/atom
**Total DFT energy (no corrections)**: -25.2 eV per cell
**V**: 96.87 Å³ per cell

Cell: 3.640 3.640 7.311 Å, 90.00 90.00 90.00°
Atoms (fractional coordinates):
Ac1 0.000 0.000 0.000
Tb1 0.000 0.000 0.500
Pt1 0.500 0.500 0.282
Pt2 0.500 0.500 0.718



A plane-wave DFT calculation with GGA-PBE was carried out for LiNi2Cl after structural relaxation.

**Size of the total moment**: 0.816 μB/f.u.
**Distance to the lowest polymorph of the same formula**: 615 meV/atom
**E_form (uncorrected)**: 1.64 eV per formula unit
**Total DFT energy (no corrections)**: -54.7 eV per cell
**V**: 201.36 Å³ per cell

Cell: 5.861 5.861 5.861 Å, 90.00 90.00 90.00°
Atoms (fractional coordinates):
Li1 0.000 0.000 0.000
Li2 0.000 0.500 0.500
Li3 0.500 0.000 0.500
Li4 0.500 0.500 0.000
Ni1 0.250 0.250 0.250
Ni2 0.250 0.250 0.750
Ni3 0.250 0.750 0.250
Ni4 0.250 0.750 0.750
Ni5 0.750 0.250 0.250
Ni6 0.750 0.250 0.750
Ni7 0.750 0.750 0.250
Ni8 0.750 0.750 0.750
Cl1 0.000 0.000 0.500
Cl2 0.000 0.500 0.000
Cl3 0.500 0.000 0.000
Cl4 0.500 0.500 0.500



A plane-wave DFT calculation with GGA-PBE was carried out for K4CaMn after structural relaxation.

**DFT formation energy**: 376.4 kJ/mol of formula units
**Size of the total moment**: 4.417 μB/f.u.
**Total DFT energy (no corrections)**: -11.7 eV per cell
**V**: 319.12 Å³ per cell

Cell: 7.670 7.670 7.670 Å, 60.00 60.00 60.00°
Atoms (fractional coordinates):
K1 0.124 0.124 0.124
K2 0.124 0.124 0.627
K3 0.124 0.627 0.124
K4 0.627 0.124 0.124
Ca1 0.500 0.500 0.500
Mn1 0.750 0.750 0.750



A plane-wave DFT calculation with GGA-PBE was carried out for Tm8Te3P3S after structural relaxation.

**Size of the total moment**: 0.000 μB/f.u.
**E_form (uncorrected)**: -21.01 eV per formula unit
**Total DFT energy (no corrections)**: -86.6 eV per cell
**V**: 381.55 Å³ per cell

Cell: 8.283 8.283 8.283 Å, 57.80 57.80 57.80°
Atoms (fractional coordinates):
Tm1 0.231 0.741 0.741
Tm2 0.235 0.235 0.235
Tm3 0.259 0.259 0.769
Tm4 0.259 0.769 0.259
Tm5 0.741 0.231 0.741
Tm6 0.741 0.741 0.231
Tm7 0.765 0.765 0.765
Tm8 0.769 0.259 0.259
Te1 0.000 0.500 0.500
Te2 0.500 0.000 0.500
Te3 0.500 0.500 0.000
P1 0.000 0.000 0.500
P2 0.000 0.500 0.000
P3 0.500 0.000 0.000
S1 0.500 0.500 0.500



V of number 2 (LaTbAlZn)?
100.80 Å³ per cell



Copy entry 9 word for word.
A plane-wave DFT calculation with GGA-PBE was carried out for AcTbPt2 after structural relaxation.

**DFT formation energy**: -419.5 kJ/mol of formula units
**Size of the total moment**: 0.000 μB/f.u.
**Distance to the lowest polymorph of the same formula**: 80 meV/atom
**Total DFT energy (no corrections)**: -25.2 eV per cell
**V**: 96.87 Å³ per cell

Cell: 3.640 3.640 7.311 Å, 90.00 90.00 90.00°
Atoms (fractional coordinates):
Ac1 0.000 0.000 0.000
Tb1 0.000 0.000 0.500
Pt1 0.500 0.500 0.282
Pt2 0.500 0.500 0.718



Which formula does entry 1 have?
FeMoS3



Among the records above, which one has the highest size of the total moment?
Mn5PbCl12